Record 1
A geometry-optimized Ce3AlZn structure, computed with PBE-GGA.

Computed properties:
Energy of formation from the pure elements: 234 meV per atom

Cell and atoms, written as POSCAR:
```
Ce3AlZn
1.0
3.296 -4.708 0.000
3.296 4.708 0.000
-0.012 0.000 4.580
Ce Al Zn
3 1 1
Cartesian
0.000 0.000 0.000 Ce
1.642 2.354 2.290 Ce
1.642 -2.354 2.290 Ce
3.296 0.000 0.000 Al
3.290 0.000 2.290 Zn
```

***

Record 2
A geometry-optimized AsAu3I structure, computed with PBE-GGA.

Computed properties:
Polymorph energy (0 for the lowest one): 0.0 meV/atom
Uncorrected formation energy: 365 meV/atom

Cell and atoms, written as POSCAR:
```
AsAu3I
1.0
5.037 0.000 0.000
0.000 5.037 0.000
0.000 0.000 5.037
As Au I
1 3 1
Cartesian
0.000 0.000 0.000 As
0.000 0.000 2.519 Au
0.000 2.519 0.000 Au
2.519 0.000 0.000 Au
2.519 2.519 2.519 I
```

***

Record 3
A geometry-optimized Li2Ga4Co structure, computed with PBE-GGA.

Computed properties:
Polymorph energy (0 for the lowest one): 84.4 meV/atom
Energy of formation from the pure elements: -86 meV per atom

Cell and atoms, written as POSCAR:
```
Li2Ga4Co
1.0
-2.244 2.244 6.607
2.244 -2.244 6.607
2.244 2.244 -6.607
Li Ga Co
2 4 1
Cartesian
0.000 0.000 1.647 Li
0.000 0.000 11.567 Li
2.244 0.000 0.000 Ga
0.000 0.000 4.219 Ga
0.000 2.244 0.000 Ga
0.000 0.000 8.995 Ga
0.000 0.000 6.607 Co
```

***

Record 4
A geometry-optimized Pr3DyY3 structure, computed with PBE-GGA.

Computed properties:
Polymorph energy (0 for the lowest one): 0.0 meV/atom
Energy of formation from the pure elements: 248 meV per atom

Cell and atoms, written as POSCAR:
```
Pr3DyY3
1.0
4.423 2.554 7.236
-4.423 2.554 7.236
0.000 -5.107 7.236
Pr Dy Y
6 2 6
Cartesian
-1.034 -3.253 8.499 Pr
-3.334 -0.731 13.209 Pr
-2.300 2.522 8.499 Pr
2.300 -2.522 13.209 Pr
3.334 0.731 8.499 Pr
1.034 3.253 13.209 Pr
0.000 0.000 7.656 Dy
0.000 0.000 14.051 Dy
-2.950 -0.898 9.814 Y
-0.698 -3.004 11.893 Y
-2.252 2.106 11.893 Y
2.252 -2.106 9.814 Y
0.698 3.004 9.814 Y
2.950 0.898 11.893 Y
```

***

Record 5
A geometry-optimized TlTc2B structure, computed with PBE-GGA.

Computed properties:
Polymorph energy (0 for the lowest one): 0.0 meV/atom
Energy of formation from the pure elements: 982 meV per atom

Cell and atoms, written as POSCAR:
```
TlTc2B
1.0
-2.179 2.179 7.641
2.179 -2.179 7.641
2.179 2.179 -7.641
Tl Tc B
2 4 2
Cartesian
0.000 0.000 0.000 Tl
0.000 2.179 3.820 Tl
1.089 -0.512 5.731 Tc
1.667 1.089 1.910 Tc
1.089 2.691 -1.910 Tc
0.512 1.089 9.551 Tc
2.179 0.000 3.820 B
0.000 0.000 7.641 B
```

***

Record 6
A geometry-optimized Pu2HfMg structure, computed with PBE-GGA.

Computed properties:
Polymorph energy (0 for the lowest one): 90.9 meV/atom
Energy of formation from the pure elements: 231 meV per atom

Cell and atoms, written as POSCAR:
```
Pu2HfMg
1.0
4.409 0.000 0.000
0.000 4.409 0.000
0.000 0.000 4.822
Pu Hf Mg
2 1 1
Cartesian
0.000 2.205 0.000 Pu
2.205 0.000 0.000 Pu
0.000 0.000 2.411 Hf
2.205 2.205 2.411 Mg
```

***

Record 7
A geometry-optimized Sr2LaSb2 structure, computed with PBE-GGA.

Computed properties:
Polymorph energy (0 for the lowest one): 537.6 meV/atom
Uncorrected formation energy: -400 meV/atom

Cell and atoms, written as POSCAR:
```
Sr2LaSb2
1.0
-3.036 3.036 5.268
3.036 -3.036 5.268
3.036 3.036 -5.268
Sr La Sb
2 1 2
Cartesian
0.000 0.000 1.733 Sr
0.000 0.000 8.803 Sr
0.000 0.000 5.268 La
3.036 0.000 2.634 Sb
0.000 3.036 2.634 Sb
```

***

Record 8
A geometry-optimized La3In2Pb structure, computed with PBE-GGA.

Computed properties:
Energy of formation from the pure elements: -539 meV per atom

Cell and atoms, written as POSCAR:
```
La3In2Pb
1.0
2.603 -7.844 0.000
2.603 7.844 0.000
0.000 0.000 4.549
La In Pb
3 2 1
Cartesian
0.000 0.000 0.000 La
2.603 2.612 0.000 La
2.603 -2.612 0.000 La
2.603 5.158 2.274 In
2.603 -5.158 2.274 In
2.603 0.000 2.274 Pb
```

***

Record 9
A geometry-optimized Ca2VCr structure, computed with PBE-GGA.

Computed properties:
Polymorph energy (0 for the lowest one): 0.0 meV/atom
Energy of formation from the pure elements: 811 meV per atom

Cell and atoms, written as POSCAR:
```
Ca2VCr
1.0
0.000 3.773 3.773
3.773 0.000 3.773
3.773 3.773 0.000
Ca V Cr
2 1 1
Cartesian
1.887 1.887 1.887 Ca
5.660 5.660 5.660 Ca
0.000 0.000 0.000 V
3.773 3.773 3.773 Cr
```

***

Record 10
A geometry-optimized Li3GaMo structure, computed with PBE-GGA.

Computed properties:
Polymorph energy (0 for the lowest one): 215.2 meV/atom
Energy of formation from the pure elements: 1204 meV per atom

Cell and atoms, written as POSCAR:
```
Li3GaMo
1.0
5.017 0.000 0.000
0.000 5.017 0.000
0.000 0.000 5.017
Li Ga Mo
3 1 1
Cartesian
0.000 0.000 2.508 Li
0.000 2.508 0.000 Li
2.508 0.000 0.000 Li
2.508 2.508 2.508 Ga
0.000 0.000 0.000 Mo
```

***

Record 11
A geometry-optimized Ac3AlPd6Au2 structure, computed with PBE-GGA.

Computed properties:
Energy of formation from the pure elements: -775 meV per atom

Cell and atoms, written as POSCAR:
```
Ac3AlPd6Au2
1.0
5.905 0.000 0.000
-2.952 5.114 0.000
0.000 0.000 8.919
Ac Al Pd Au
3 1 6 2
Cartesian
0.000 0.000 0.000 Ac
0.000 3.409 5.722 Ac
2.952 1.705 3.197 Ac
0.000 0.000 4.459 Al
0.000 1.767 2.633 Pd
-1.422 4.230 2.633 Pd
1.530 0.883 6.286 Pd
1.422 4.230 2.633 Pd
4.375 0.883 6.286 Pd
2.952 3.347 6.286 Pd
0.000 3.409 0.247 Au
2.952 1.705 8.672 Au
```

***

Record 12
A geometry-optimized Ru2PtBr structure, computed with PBE-GGA.

Computed properties:
Polymorph energy (0 for the lowest one): 5.3 meV/atom
Uncorrected formation energy: 447 meV/atom

Cell and atoms, written as POSCAR:
```
Ru2PtBr
1.0
1.414 0.817 9.791
-1.414 0.817 9.791
0.000 -1.633 9.791
Ru Pt Br
2 1 1
Cartesian
0.000 0.000 0.000 Ru
0.000 0.000 7.805 Ru
0.000 0.000 21.855 Pt
0.000 0.000 15.313 Br
```

***

Record 13
A geometry-optimized TaTc2Ru structure, computed with PBE-GGA.

Computed properties:
Polymorph energy (0 for the lowest one): 155.4 meV/atom
Energy of formation from the pure elements: 101 meV per atom

Cell and atoms, written as POSCAR:
```
TaTc2Ru
1.0
1.392 0.804 9.147
-1.392 0.804 9.147
0.000 -1.608 9.147
Ta Tc Ru
1 2 1
Cartesian
0.000 0.000 0.000 Ta
0.000 0.000 6.699 Tc
0.000 0.000 13.703 Tc
0.000 0.000 20.620 Ru
```

***

Record 14
A geometry-optimized CaGaRhS2 structure, computed with PBE-GGA.

Computed properties:
Uncorrected formation energy: -475 meV/atom

Cell and atoms, written as POSCAR:
```
CaGaRhS2
1.0
4.950 0.000 0.000
0.000 4.950 0.000
0.000 0.000 4.522
Ca Ga Rh S
1 1 1 2
Cartesian
0.000 0.000 0.000 Ca
2.475 2.475 0.000 Ga
2.475 2.475 2.261 Rh
0.000 2.475 2.261 S
2.475 0.000 2.261 S
```

***

Record 15
A geometry-optimized Na2ErTmS4 structure, computed with PBE-GGA.

Computed properties:
Uncorrected formation energy: -1855 meV/atom

Cell and atoms, written as POSCAR:
```
Na2ErTmS4
1.0
6.822 0.000 0.000
0.000 3.940 0.000
-2.273 0.000 6.675
Na Er Tm S
2 1 1 4
Cartesian
0.000 0.000 0.000 Na
3.411 1.970 0.000 Na
-1.136 1.970 3.338 Er
2.275 0.000 3.338 Tm
0.007 0.000 4.837 S
1.145 1.970 1.841 S
3.405 1.970 4.834 S
4.543 0.000 1.838 S
```

***

Record 16
A geometry-optimized Tb6ScCd2 structure, computed with PBE-GGA.

Computed properties:
Polymorph energy (0 for the lowest one): 0.0 meV/atom
Energy of formation from the pure elements: -116 meV per atom

Cell and atoms, written as POSCAR:
```
Tb6ScCd2
1.0
6.234 -1.853 0.000
6.234 1.853 0.000
-3.718 0.000 11.172
Tb Sc Cd
6 1 2
Cartesian
-1.016 0.000 3.789 Tb
2.346 0.000 4.590 Tb
3.538 0.000 1.349 Tb
5.212 0.000 9.823 Tb
6.404 0.000 6.582 Tb
9.766 0.000 7.383 Tb
0.000 0.000 0.000 Sc
1.488 0.000 9.029 Cd
7.262 0.000 2.143 Cd
```

***

Record 17
A geometry-optimized Na5TmTl6 structure, computed with PBE-GGA.

Computed properties:
Energy of formation from the pure elements: -128 meV per atom

Cell and atoms, written as POSCAR:
```
Na5TmTl6
1.0
5.254 0.000 0.000
0.000 7.955 0.000
-2.601 0.000 7.866
Na Tm Tl
5 1 6
Cartesian
0.000 0.000 0.000 Na
0.017 3.978 5.200 Na
0.017 0.000 5.203 Na
2.636 0.000 2.664 Na
2.636 3.978 2.666 Na
0.000 3.978 0.000 Tm
0.011 2.029 2.590 Tl
0.011 5.926 2.590 Tl
2.627 2.053 0.000 Tl
2.627 5.902 0.000 Tl
2.642 2.029 5.277 Tl
2.642 5.926 5.277 Tl
```

***

Record 18
A geometry-optimized PrTe2As structure, computed with PBE-GGA.

Computed properties:
Uncorrected formation energy: -99 meV/atom

Cell and atoms, written as POSCAR:
```
PrTe2As
1.0
2.039 1.177 9.582
-2.039 1.177 9.582
0.000 -2.354 9.582
Pr Te As
1 2 1
Cartesian
0.000 0.000 0.000 Pr
0.000 0.000 3.122 Te
0.000 0.000 25.625 Te
0.000 0.000 14.373 As
```

***

Record 19
A geometry-optimized CrCoAg2 structure, computed with PBE-GGA.

Computed properties:
Polymorph energy (0 for the lowest one): 69.7 meV/atom
Energy of formation from the pure elements: 391 meV per atom

Cell and atoms, written as POSCAR:
```
CrCoAg2
1.0
1.357 0.783 9.119
-1.357 0.783 9.119
0.000 -1.567 9.119
Cr Co Ag
1 1 2
Cartesian
0.000 0.000 0.000 Cr
0.000 0.000 20.001 Co
0.000 0.000 6.706 Ag
0.000 0.000 13.224 Ag
```

***

Record 20
A geometry-optimized Ca2C structure, computed with PBE-GGA.

Computed properties:
Polymorph energy (0 for the lowest one): 822.7 meV/atom
Energy of formation from the pure elements: 857 meV per atom

Cell and atoms, written as POSCAR:
```
Ca2C
1.0
2.916 -6.416 0.000
2.916 6.416 0.000
0.000 0.000 3.741
Ca C
4 2
Cartesian
0.000 0.000 0.000 Ca
2.916 3.383 1.870 Ca
2.916 0.000 1.870 Ca
2.916 -3.383 1.870 Ca
2.916 1.770 0.000 C
2.916 -1.770 0.000 C
```

***

Record 21
A geometry-optimized BaTl2ZnRu structure, computed with PBE-GGA.

Computed properties:
Energy of formation from the pure elements: -83 meV per atom

Cell and atoms, written as POSCAR:
```
BaTl2ZnRu
1.0
5.294 0.000 0.000
0.000 5.294 0.000
0.000 0.000 5.028
Ba Tl Zn Ru
1 2 1 1
Cartesian
0.000 0.000 0.000 Ba
0.000 2.647 2.514 Tl
2.647 0.000 2.514 Tl
2.647 2.647 0.000 Zn
2.647 2.647 2.514 Ru
```

***

Record 22
A geometry-optimized VReSeN2 structure, computed with PBE-GGA.

Computed properties:
Polymorph energy (0 for the lowest one): 327.4 meV/atom
Uncorrected formation energy: 1022 meV/atom

Cell and atoms, written as POSCAR:
```
VReSeN2
1.0
3.757 0.000 0.000
0.000 3.757 0.000
0.000 0.000 5.201
V Re Se N
1 1 1 2
Cartesian
0.000 0.000 0.000 V
1.878 1.878 2.601 Re
0.000 0.000 2.601 Se
0.000 1.878 0.000 N
1.878 0.000 0.000 N
```

***

Record 23
A geometry-optimized Pr4Ho11Tm9 structure, computed with PBE-GGA.

Computed properties:
Energy of formation from the pure elements: 45 meV per atom

Cell and atoms, written as POSCAR:
```
Pr4Ho11Tm9
1.0
8.111 -13.103 0.000
8.111 13.103 0.000
0.000 0.000 3.583
Pr Ho Tm
4 11 9
Cartesian
2.778 2.308 0.000 Pr
2.778 -2.308 0.000 Pr
13.444 2.308 0.000 Pr
13.444 -2.308 0.000 Pr
4.565 4.884 1.792 Ho
8.111 9.848 1.792 Ho
4.720 0.000 1.792 Ho
8.111 4.910 1.792 Ho
4.565 -4.884 1.792 Ho
8.111 0.000 1.792 Ho
11.658 4.884 1.792 Ho
8.111 -4.910 1.792 Ho
11.503 0.000 1.792 Ho
8.111 -9.848 1.792 Ho
11.658 -4.884 1.792 Ho
0.000 0.000 0.000 Tm
6.388 7.355 0.000 Tm
6.351 2.467 0.000 Tm
9.834 7.355 0.000 Tm
6.351 -2.467 0.000 Tm
9.872 2.467 0.000 Tm
6.388 -7.355 0.000 Tm
9.872 -2.467 0.000 Tm
9.834 -7.355 0.000 Tm
```

***

Record 24
A geometry-optimized CaAg2Cl6 structure, computed with PBE-GGA.

Computed properties:
Polymorph energy (0 for the lowest one): 10.2 meV/atom
Uncorrected formation energy: -988 meV/atom

Cell and atoms, written as POSCAR:
```
CaAg2Cl6
1.0
7.550 -4.808 0.000
7.550 4.808 0.000
-1.569 0.000 7.208
Ca Ag Cl
2 4 12
Cartesian
6.373 3.503 5.406 Ca
7.157 -3.503 1.802 Ca
2.663 1.259 5.323 Ag
3.447 -1.259 1.719 Ag
10.083 1.259 5.489 Ag
10.867 -1.259 1.885 Ag
7.948 -3.937 4.443 Cl
5.582 3.937 2.765 Cl
3.623 1.127 2.389 Cl
8.733 3.937 0.839 Cl
4.719 1.650 6.493 Cl
2.838 -1.127 5.993 Cl
8.026 1.650 4.319 Cl
5.504 -1.650 2.889 Cl
10.692 1.127 1.215 Cl
8.811 -1.650 0.715 Cl
4.797 -3.937 6.369 Cl
9.907 -1.127 4.819 Cl
```

***

Record 25
A geometry-optimized Pr3HoEr7 structure, computed with PBE-GGA.

Computed properties:
Polymorph energy (0 for the lowest one): 0.0 meV/atom
Energy of formation from the pure elements: 125 meV per atom

Cell and atoms, written as POSCAR:
```
Pr3HoEr7
1.0
6.498 0.000 0.000
-0.607 6.655 0.000
-1.236 -1.536 8.356
Pr Ho Er
3 1 7
Cartesian
0.000 0.000 0.000 Pr
0.737 3.488 1.376 Pr
3.918 1.630 6.980 Pr
2.631 -0.768 4.178 Ho
-1.102 4.222 4.841 Er
0.685 0.620 6.570 Er
1.310 3.955 7.137 Er
2.327 2.559 4.178 Er
3.345 1.164 1.219 Er
3.970 4.498 1.786 Er
5.757 0.897 3.515 Er
```

***

What are the theoretical density values for these records? In order: 5.99, 10.30, 4.39, 5.77, 9.41, 12.24, 4.77, 7.63, 2.83, 2.45, 10.73, 11.68, 12.92, 4.15, 4.72, 7.87, 7.63, 5.67, 9.33, 2.19, 8.40, 7.78, 8.50, 2.97, 8.08 Mg/m³.
What are the raw total energy values for these records? In order: -4.33, -2.84, -3.38, -5.23, -6.46, -9.82, -3.71, -4.53, -4.88, -2.72, -5.26, -6.12, -10.36, -4.60, -5.38, -4.11, -2.23, -4.03, -5.22, -3.55, -3.52, -7.32, -4.53, -3.08, -4.50 eV per atom.